Entry from Alexandria via LeMat-Bulk: crystalline CoGe2AsO6 at its relaxed geometry (PBE+U).

Cell lengths 5.6184, 6.8649, 6.8649 Å; angles 83.33, 78.17, 78.17 degrees
With the nearest neighbours (Å) after each atom.
Atoms (fractional coordinates):
O 0.3438 0.2133 0.9939  1 Ge 1.84, 1 As 1.89
O 0.8874 0.3631 0.8910  1 Ge 1.78
O 0.8438 0.9939 0.2133  1 Ge 1.84, 1 As 1.89
O 0.5030 0.6166 0.7044  2 Ge 1.80
O 0.0030 0.7044 0.6166  2 Ge 1.80
O 0.3874 0.8910 0.3631  1 Ge 1.78
O 0.4970 0.3834 0.2956  2 Ge 1.80
O 0.1126 0.6369 0.1090  1 Ge 1.78
O 0.9970 0.2956 0.3834  2 Ge 1.80
O 0.6562 0.7867 0.0061  1 Ge 1.84, 1 As 1.89
O 0.6126 0.1090 0.6369  1 Ge 1.78
O 0.1562 0.0061 0.7867  1 Ge 1.84, 1 As 1.89
As 0.2500 0.2584 0.7416  4 O 1.89-2.11
As 0.7500 0.7416 0.2584  4 O 1.89-2.11
Ge 0.7275 0.1917 0.3870  4 O 1.78-1.84
Ge 0.2725 0.8083 0.6130  4 O 1.78-1.84
Ge 0.2275 0.3870 0.1917  4 O 1.78-1.84
Ge 0.7725 0.6130 0.8083  4 O 1.78-1.84
Co 0.7500 0.0945 0.9055  6 O 2.12-2.28
Co 0.2500 0.9055 0.0945  6 O 2.12-2.28

Magnetic moment ... 0.216 μB per atom
Raw total energy ... -6.11 eV/atom
Space group ... C2/c (15)
Calculated density ... 4.93 Mg/m³